DFT (PBE-GGA) results for an optimized crystal structure of Pr2Pd5.

Cell lengths 5.2526, 8.0832, 8.1722 Å; angles 60.36, 71.82, 90.00 degrees
Positions (direct):
Pd 0.5627 0.8077 0.5596
Pd 0.0197 0.8153 0.1742
Pd 0.4803 0.9894 0.8258
Pr 0.5076 0.6108 0.2497
Pd 0.4373 0.1923 0.4404
Pd 0.9803 0.1847 0.8258
Pd 0.9373 0.3673 0.4404
Pd 0.0627 0.6327 0.5596
Pd 0.5197 0.0106 0.1742
Pd 0.2500 0.5778 0.0000
Pr 0.4924 0.3892 0.7503
Pr 0.9924 0.8605 0.7503
Pr 0.0076 0.1395 0.2497
Pd 0.7500 0.4222 0.0000

**Symmetry**: C2/c (15)

DFT (PBE-GGA) results for an optimized crystal structure of Pr3Pd.

Cell lengths 3.7613, 5.9617, 6.5356 Å; angles 117.14, 106.72, 90.00 degrees
Positions (direct):
Pd 0.0000 0.0157 0.0000
Pr 0.5000 0.4078 0.0000
Pr 0.2987 0.6703 0.5974
Pr 0.7013 0.0729 0.4026

**Symmetry**: Imm2 (44)

DFT (PBE-GGA) results for an optimized crystal structure of Pr2Pd.

Cell lengths 7.1520, 7.2692, 7.4171 Å; angles 90.00, 90.00, 90.00 degrees
Positions (direct):
Pr 0.2469 0.9549 0.9321
Pr 0.7469 0.0451 0.5679
Pd 0.5000 0.7500 0.7029
Pd 0.5000 0.2500 0.2971
Pr 0.2531 0.4549 0.5679
Pr 0.2531 0.9549 0.4321
Pr 0.2469 0.4549 0.0679
Pr 0.7531 0.0451 0.0679
Pr 0.7531 0.5451 0.9321
Pd 0.0000 0.7500 0.2029
Pd 0.0000 0.2500 0.7971
Pr 0.7469 0.5451 0.4321

**Symmetry**: Pbcn (60)

DFT (PBE-GGA) results for an optimized crystal structure of Pr2Pd17.

Cell lengths 6.9817, 6.9817, 6.9817 Å; angles 82.52, 82.52, 82.52 degrees
Positions (direct):
Pd 0.1008 0.1008 0.1008
Pd 0.8413 0.3483 0.3483
Pd 0.0000 0.5000 0.0000
Pd 0.0000 0.0000 0.5000
Pr 0.3330 0.3330 0.3330
Pd 0.0000 0.6974 0.3026
Pd 0.3026 0.0000 0.6974
Pd 0.3483 0.3483 0.8413
Pd 0.6517 0.1587 0.6517
Pd 0.0000 0.3026 0.6974
Pd 0.5000 0.0000 0.0000
Pd 0.6974 0.3026 0.0000
Pd 0.3026 0.6974 0.0000
Pd 0.8992 0.8992 0.8992
Pd 0.3483 0.8413 0.3483
Pd 0.6517 0.6517 0.1587
Pd 0.6974 0.0000 0.3026
Pd 0.1587 0.6517 0.6517
Pr 0.6670 0.6670 0.6670

**Symmetry**: R-3m (166)

no.,spin magnetization (μB per cell),raw total energy (eV per atom)
1,0.00,-5.6803
2,0.00,-5.1890
3,0.00,-5.2810
4,0.00,-5.4675